! CoAsAu2 PBE optimized geometry; values from VASP
! ΔE_f	330	meV per atom
! SG	I4/mmm, No. 139
! magnetization	1.620	μB per formula unit
! E	-0.1561	hartree per atom
&SYSTEM
  ibrav = 0, nat = 4, ntyp = 3
/
ATOMIC_SPECIES
Au 196.97 Au.upf
Co 58.93 Co.upf
As 74.92 As.upf
ATOMIC_POSITIONS angstrom
Au 0.000 0.000 0.000
Au -3.453 -1.297 -2.037
Co -1.576 0.895 -2.257
As -2.854 0.439 0.200
CELL_PARAMETERS angstrom
-2.175 -0.841 -4.494
-4.731 -1.754 0.421
2.476 3.929 2.017